(1)
Compound: PaNbH4
Source: Alexandria via LeMat-Bulk
Functional: PBE
Structure: relaxed

Total moment: 0.0 μB/cell
E above lowest polymorph: 0 meV per atom

```
PaNbH4
1.0
2.1325 -2.4390 0.0000
2.1325 2.4390 0.0000
0.0000 0.0000 5.4389
Pa Nb H
1 1 4
direct
0.0000 0.0000 0.0000
0.5000 0.5000 0.5000
0.0000 0.5000 0.2932
0.0000 0.5000 0.7068
0.5000 0.0000 0.2932
0.5000 0.0000 0.7068
```

(2)
Compound: AsBrCl2
Source: Alexandria via LeMat-Bulk
Functional: PBE
Structure: relaxed

Total moment: 0.0 μB/cell
Uncorrected formation energy: 0.182 eV/atom
E above lowest polymorph: 802 meV per atom

```
AsBrCl2
1.0
3.1566 0.0000 0.0000
0.0000 3.1566 0.0000
0.0000 0.0000 10.4739
As Br Cl
1 1 2
direct
0.0000 0.0000 0.0000
0.0000 0.0000 0.5000
0.5000 0.5000 0.1589
0.5000 0.5000 0.8411
```

(3)
Compound: SrCa2AsPb
Source: Alexandria via LeMat-Bulk
Functional: PBE
Structure: relaxed

Total moment: 0.0 μB/cell
Formation energy: -681 meV/atom

```
SrCa2AsPb
1.0
5.5594 0.0000 0.0000
0.0000 5.5594 0.0000
0.0000 0.0000 5.9387
Sr Ca As Pb
1 2 1 1
direct
0.0000 0.0000 0.0000
0.0000 0.5000 0.5000
0.5000 0.0000 0.5000
0.0000 0.0000 0.5000
0.5000 0.5000 0.0000
```

(4)
Compound: MgP2PbO
Source: Alexandria via LeMat-Bulk
Functional: PBE
Structure: relaxed

Total moment: 0.0 μB/cell
Uncorrected formation energy: 0.131 eV/atom
E above lowest polymorph: 0 meV per atom

```
MgP2PbO
1.0
5.4867 0.0000 0.0000
0.0000 5.4867 0.0000
0.0000 0.0000 3.6954
Mg P Pb O
1 2 1 1
direct
0.0000 0.0000 0.0000
0.0000 0.5000 0.0000
0.5000 0.0000 0.0000
0.5000 0.5000 0.5000
0.0000 0.0000 0.5000
```

(5)
Compound: BaLi2Ca
Source: Alexandria via LeMat-Bulk
Functional: PBE
Structure: relaxed

Total moment: 0.0 μB/cell
Formation energy: 159 meV/atom
E above lowest polymorph: 125 meV per atom

```
BaLi2Ca
1.0
0.0000 4.2017 4.2017
4.2017 0.0000 4.2017
4.2017 4.2017 0.0000
Ba Li Ca
1 2 1
direct
0.0000 0.0000 0.0000
0.2500 0.2500 0.2500
0.5000 0.5000 0.5000
0.7500 0.7500 0.7500
```

(6)
Compound: Ce3PbS
Source: Alexandria via LeMat-Bulk
Functional: PBE
Structure: relaxed

Total moment: 1.1 μB/cell
Uncorrected formation energy: -0.833 eV/atom

```
Ce3PbS
1.0
5.2706 0.0000 0.0000
0.0000 5.2706 0.0000
0.0000 0.0000 5.2706
Ce Pb S
3 1 1
direct
0.0000 0.0000 0.5000
0.0000 0.5000 0.0000
0.5000 0.0000 0.0000
0.5000 0.5000 0.5000
0.0000 0.0000 0.0000
```

(7)
Compound: Ce2Sb7Rh12
Source: Alexandria via LeMat-Bulk
Functional: PBE
Structure: relaxed

Total moment: 1.3 μB/cell
Uncorrected formation energy: -0.571 eV/atom

```
Ce2Sb7Rh12
1.0
10.5299 0.0000 0.0000
-5.2649 9.1191 0.0000
0.0000 0.0000 4.1064
Ce Sb Rh
2 7 12
direct
0.3333 0.6667 0.2453
0.6667 0.3333 0.7547
0.0000 0.0000 0.5000
0.1127 0.7098 0.7454
0.2902 0.4029 0.7454
0.4029 0.1127 0.2546
0.5971 0.8873 0.7454
0.7098 0.5971 0.2546
0.8873 0.2902 0.2546
0.0640 0.4431 0.7512
0.1194 0.2636 0.2420
0.1441 0.8806 0.2420
0.2636 0.1441 0.7580
0.3791 0.9360 0.7512
0.4431 0.3791 0.2488
0.5569 0.6209 0.7512
0.6209 0.0640 0.2488
0.7364 0.8559 0.2420
0.8559 0.1194 0.7580
0.8806 0.7364 0.7580
0.9360 0.5569 0.2488
```

(8)
Compound: RbLi2AgGe
Source: Alexandria via LeMat-Bulk
Functional: PBE
Structure: relaxed

Total moment: 0.0 μB/cell
Formation energy: -113 meV/atom

```
RbLi2AgGe
1.0
5.1514 0.0000 0.0000
0.0000 5.1514 0.0000
0.0000 0.0000 5.0661
Rb Li Ag Ge
1 2 1 1
direct
0.0000 0.0000 0.0000
0.0000 0.5000 0.5000
0.5000 0.0000 0.5000
0.5000 0.5000 0.0000
0.5000 0.5000 0.5000
```